[1]
# OsRh2Au meta-GGA SCAN single point on PBEsol structure
data_OsRh2Au
_cell_length_a 2.725
_cell_length_b 2.725
_cell_length_c 9.105
_cell_angle_alpha 81.44
_cell_angle_beta 81.44
_cell_angle_gamma 59.99
_space_group_name_H-M_alt 'P 1'
_space_group_IT_number 1
_space_group_name_Hall 'P 1'
loop_
_atom_site_label
_atom_site_type_symbol
_atom_site_fract_x
_atom_site_fract_y
_atom_site_fract_z
_atom_site_occupancy
Au1 Au 0.500 0.500 0.501 1
Rh1 Rh 0.999 0.999 0.003 1
Rh2 Rh 0.746 0.746 0.760 1
Os1 Os 0.255 0.255 0.236 1
# - offset from the most stable computed form (meV per atom) = 157.9
# - space group = R3m, No. 160
# - total moment (μB/f.u.) = 0.0
# - volume (Å³/f.u.) = 58
# - calculated formation energy (meV per atom) = 211

=====

[2]
# SeSF2 meta-GGA SCAN single point on PBEsol structure
data_SeSF2
_cell_length_a 3.692
_cell_length_b 3.692
_cell_length_c 8.225
_cell_angle_alpha 102.97
_cell_angle_beta 102.97
_cell_angle_gamma 90.00
_space_group_name_H-M_alt 'P 1'
_space_group_IT_number 1
_space_group_name_Hall 'P 1'
loop_
_atom_site_label
_atom_site_type_symbol
_atom_site_fract_x
_atom_site_fract_y
_atom_site_fract_z
_atom_site_occupancy
F1 F 0.896 0.375 0.250 1
F2 F 0.354 0.875 0.250 1
F3 F 0.125 0.104 0.750 1
F4 F 0.625 0.646 0.750 1
S1 S 0.750 0.250 0.500 1
S2 S 0.500 0.500 0.000 1
Se1 Se 0.250 0.750 0.500 1
Se2 Se 0.000 0.000 0.000 1
# - space group = I-42d, No. 122
# - total moment (μB/f.u.) = 0.6
# - raw formation energy (eV/atom) = -0.225
# - volume (Å³/f.u.) = 53